Computed, not measured: crystalline ScS3Cl at its relaxed geometry at the GGA-PBE level of DFT.

Calculated values
**Space group**: Pm-3m, No. 221
**Theoretical density**: 2.34 g/cm³
**DOS at the Fermi energy**: 6.30 states/eV/f.u.
**Final energy**: -21.0 eV per cell
**Formation energy (no corrections)**: -0.092 eV per atom

```
data_ScS3Cl
_symmetry_space_group_name_H-M 'P 1'
_symmetry_Int_Tables_number 1
_cell_length_a 5.008
_cell_length_b 5.008
_cell_length_c 5.008
_cell_angle_alpha 90.00
_cell_angle_beta 90.00
_cell_angle_gamma 90.00
loop_
_symmetry_equiv_pos_as_xyz
'x,y,z'
loop_
_atom_site_label
_atom_site_type_symbol
_atom_site_fract_x
_atom_site_fract_y
_atom_site_fract_z
Sc1 Sc 0.000 0.000 0.000
S1 S 0.000 0.000 0.500
S2 S 0.000 0.500 0.000
S3 S 0.500 0.000 0.000
Cl1 Cl 0.500 0.500 0.500
```